Ho8Pd2Pt after structural relaxation. Source: Alexandria via LeMat-Bulk, functional PBE.

a b c (Å): 8.2815 13.1045 5.8915
angles (deg): 90.00 110.55 90.00
Space group Cm (No. 8)
Inequivalent atoms, fractional coordinates:
Ho  0.0000  0.0000  0.0000
Ho  0.0775  0.3742  0.7750
Ho  0.1470  0.1259  0.5663
Ho  0.2265  0.5000  0.3620
Ho  0.3619  0.2081  0.1800
Pd  0.3663  0.3031  0.6855
Pt  0.3646  0.0000  0.3461

* energy above the most stable polymorph in this dataset: 0.0996 eV per atom



Tc2PtSe after structural relaxation. Source: Alexandria via LeMat-Bulk, functional PBE.

a b c (Å): 3.0198 3.9565 5.3596
angles (deg): 90.00 105.33 90.00
Space group P2/m (No. 10)
Inequivalent atoms, fractional coordinates:
Tc  0.1282  0.0000  0.2594
Pt  0.5000  0.5000  0.0000
Se  0.5000  0.5000  0.5000

* formation energy from raw total energies: 0.207 eV per atom



Ca3PrSe4O12 after structural relaxation. Source: Alexandria via LeMat-Bulk, functional PBE.

a b c (Å): 11.3595 11.3595 8.6458
angles (deg): 90.00 90.00 120.00
Space group R32 (No. 155, hexagonal axes)
Inequivalent atoms, fractional coordinates:
Ca  0.0000  0.5695  0.0000
Pr  0.0000  0.0000  0.0000
Se  0.0000  0.0000  0.5000
Se  0.0000  0.4039  0.5000
O  0.0000  0.5554  0.5000
O  0.0000  0.8402  0.5000
O  0.0392  0.1836  0.1790

* formation energy from raw total energies: -1.544 eV per atom



UO2F after structural relaxation. Source: Alexandria via LeMat-Bulk, functional PBE.

a b c (Å): 3.1781 3.1781 4.5398
angles (deg): 90.00 90.00 90.00
Space group P4/mmm (No. 123)
Inequivalent atoms, fractional coordinates:
U  0.0000  0.0000  0.0000
O  0.5000  0.5000  0.2218
F  0.0000  0.0000  0.5000

* formation energy from raw total energies: -2.272 eV per atom
* energy above the most stable polymorph in this dataset: 0.6927 eV per atom



no.,DFT total energy (eV per atom),mass density (g/cm³)
1,-5.288,9.582
2,-7.357,12.639
3,-5.756,3.965
4,-8.041,10.467